Pr2TlZn3 PBE-GGA optimized geometry; space group = No. 69; energy of formation = -0.330 eV per atom
1.0
6.021 -0.518 0.000
-0.751 5.997 0.000
-2.635 -2.740 8.122
Pr Tl Zn
4 2 6
Direct
0.250 0.750 0.500 Pr
0.757 0.757 0.000 Pr
0.750 0.250 0.500 Pr
0.243 0.243 0.000 Pr
0.665 0.665 0.331 Tl
0.335 0.335 0.669 Tl
0.323 0.837 0.160 Zn
0.163 0.677 0.840 Zn
0.677 0.163 0.840 Zn
0.837 0.323 0.160 Zn
0.161 0.161 0.323 Zn
0.839 0.839 0.677 Zn

Pr3TlZn8 PBE-GGA optimized geometry; space group = No. 160; energy of formation = -0.234 eV per atom
1.0
-0.130 -1.221 -5.498
-2.541 -4.702 -1.782
-8.702 2.558 -3.249
Pr Tl Zn
3 1 8
Direct
0.377 0.377 0.868 Pr
0.995 0.995 0.016 Pr
0.504 0.504 0.489 Pr
0.871 0.871 0.386 Tl
0.938 0.440 0.182 Zn
0.430 0.940 0.690 Zn
0.440 0.440 0.182 Zn
0.940 0.940 0.690 Zn
0.186 0.186 0.441 Zn
0.690 0.690 0.931 Zn
0.440 0.938 0.182 Zn
0.940 0.430 0.690 Zn

Pr3TlZn PBE-GGA optimized geometry; space group = No. 63; energy of formation = -0.236 eV per atom; polymorph energy (0 for the lowest one) = 0.0 kJ/mol of formula units
1.0
5.323 0.000 1.217
0.000 5.456 0.000
0.414 0.000 10.444
Pr Tl Zn
6 2 2
Direct
0.761 0.250 0.126 Pr
0.388 0.250 0.872 Pr
0.575 0.250 0.499 Pr
0.260 0.750 0.128 Pr
0.887 0.750 0.874 Pr
0.073 0.750 0.501 Pr
0.669 0.750 0.311 Tl
0.980 0.250 0.689 Tl
0.476 0.750 0.696 Zn
0.172 0.250 0.304 Zn

Number 1: density of states at the Fermi level 0.975 states/eV per atom. Number 2: density of states at the Fermi level 0.575 states/eV per atom. Number 3: density of states at the Fermi level 1.223 states/eV per atom.